First-principles (meta-GGA SCAN) data for a crystal of BaCrO4 relaxed with PBEsol, as listed in the Alexandria database.

The structure in CIF format:
```
data_BaCrO4
_chemical_formula_sum 'Ba4 Cr4 O16'
_cell_length_a 9.099
_cell_length_b 5.475
_cell_length_c 7.305
_cell_angle_alpha 90.00
_cell_angle_beta 90.00
_cell_angle_gamma 90.00
_space_group_name_H-M_alt 'P n m a'
_space_group_IT_number 62
_space_group_name_Hall '-P 2ac 2n'
loop_
_atom_site_label
_atom_site_fract_x
_atom_site_fract_y
_atom_site_fract_z
Ba1 0.185 0.250 0.154
Cr1 0.055 0.250 0.696
O1 0.081 0.006 0.825
O2 0.115 0.750 0.377
O3 0.176 0.250 0.530
```

Summary:
As for the energy relative to the elements, uncorrected: -2.607 eV/atom.

***

First-principles (meta-GGA SCAN) data for a crystal of Ba2CrO4 relaxed with PBEsol, as listed in the Alexandria database.

The structure in CIF format:
```
data_Ba2CrO4
_chemical_formula_sum 'Ba8 Cr4 O16'
_cell_length_a 7.629
_cell_length_b 5.852
_cell_length_c 10.427
_cell_angle_alpha 90.00
_cell_angle_beta 90.00
_cell_angle_gamma 90.00
_space_group_name_H-M_alt 'P n m a'
_space_group_IT_number 62
_space_group_name_Hall '-P 2ac 2n'
loop_
_atom_site_label
_atom_site_fract_x
_atom_site_fract_y
_atom_site_fract_z
Ba1 0.005 0.250 0.194
Ba2 0.147 0.750 0.426
Cr1 0.218 0.750 0.079
O1 0.011 0.250 0.918
O2 0.185 0.250 0.422
O3 0.191 0.003 0.648
```

Summary:
As for the energy relative to the elements, uncorrected: -2.806 eV/atom.

***

First-principles (meta-GGA SCAN) data for a crystal of BaCrSi4O10 relaxed with PBEsol, as listed in the Alexandria database.

The structure in CIF format:
```
data_BaCrSi4O10
_chemical_formula_sum 'Ba4 Cr4 Si16 O40'
_cell_length_a 7.530
_cell_length_b 7.530
_cell_length_c 16.252
_cell_angle_alpha 90.00
_cell_angle_beta 90.00
_cell_angle_gamma 90.00
_space_group_name_H-M_alt 'P 4/n c c'
_space_group_IT_number 130
loop_
_space_group_symop_operation_xyz
'x,y,z'
'-x,-y,-z'
'-y+1/2,x,z'
'y+1/2,-x,-z'
'-x+1/2,-y+1/2,z'
'x+1/2,y+1/2,-z'
'y,-x+1/2,z'
'-y,x+1/2,-z'
'x+1/2,-y,-z+1/2'
'-x+1/2,y,z+1/2'
'-y,-x,-z+1/2'
'y,x,z+1/2'
'-x,y+1/2,-z+1/2'
'x,-y+1/2,z+1/2'
'y+1/2,x+1/2,-z+1/2'
'-y+1/2,-x+1/2,z+1/2'
loop_
_atom_site_label
_atom_site_fract_x
_atom_site_fract_y
_atom_site_fract_z
Ba1 0.250 0.750 0.000
Cr1 0.250 0.250 0.092
Si1 0.016 0.066 0.346
O1 0.001 0.220 0.864
O2 0.024 0.118 0.090
O3 0.029 0.529 0.250
```

Summary:
As for the energy relative to the elements, uncorrected: -2.997 eV/atom.

***

First-principles (meta-GGA SCAN) data for a crystal of Ba2TaCrO6 relaxed with PBEsol, as listed in the Alexandria database.

The structure in CIF format:
```
data_Ba2TaCrO6
_chemical_formula_sum 'Ba8 Ta4 Cr4 O24'
_cell_length_a 5.7215
_cell_length_b 5.7215
_cell_length_c 18.7969
_cell_angle_alpha 90.00
_cell_angle_beta 90.00
_cell_angle_gamma 120.00
_space_group_name_H-M_alt 'P 63/m m c'
_space_group_IT_number 194
_space_group_name_Hall '-P 6c 2c'
loop_
_atom_site_label
_atom_site_fract_x
_atom_site_fract_y
_atom_site_fract_z
Ba1 0.0000 0.0000 0.0000
Ba2 0.3333 0.6667 0.1417
Ba3 0.3333 0.6667 0.7500
Ta1 0.3333 0.6667 0.5641
Cr1 0.0000 0.0000 0.1814
O1 0.0000 0.5000 0.0000
O2 0.1486 0.2972 0.2500
O3 0.1686 0.3373 0.6215
```

Summary:
As for the energy relative to the elements, uncorrected: -3.122 eV/atom.

***

First-principles (meta-GGA SCAN) data for a crystal of Ba2Ti4Cr2O13 relaxed with PBEsol, as listed in the Alexandria database.

The structure in CIF format:
```
data_Ba2Ti4Cr2O13
_chemical_formula_sum 'Ba4 Ti8 Cr4 O26'
_cell_length_a 14.830
_cell_length_b 3.900
_cell_length_c 9.072
_cell_angle_alpha 90.00
_cell_angle_beta 97.96
_cell_angle_gamma 90.00
_space_group_name_H-M_alt 'C 1 2/m 1'
_space_group_IT_number 12
_space_group_name_Hall '-C 2y'
loop_
_atom_site_label
_atom_site_fract_x
_atom_site_fract_y
_atom_site_fract_z
Ba1 0.053 0.000 0.276
Ti1 0.125 0.500 0.590
Ti2 0.167 0.500 0.937
Cr1 0.243 0.500 0.260
O1 0.000 0.500 0.500
O2 0.067 0.500 0.802
O3 0.130 0.500 0.121
O4 0.133 0.000 0.617
O5 0.173 0.500 0.419
O6 0.199 0.000 0.929
O7 0.238 0.500 0.747
```

Summary:
As for the energy relative to the elements, uncorrected: -3.195 eV/atom.

***

First-principles (meta-GGA SCAN) data for a crystal of Ba3Cr2WO9 relaxed with PBEsol, as listed in the Alexandria database.

The structure in CIF format:
```
data_Ba3Cr2WO9
_chemical_formula_sum 'Ba6 Cr4 W2 O18'
_cell_length_a 5.6796
_cell_length_b 5.6796
_cell_length_c 13.9774
_cell_angle_alpha 90.00
_cell_angle_beta 90.00
_cell_angle_gamma 120.00
_space_group_name_H-M_alt 'P 63/m m c'
_space_group_IT_number 194
_space_group_name_Hall '-P 6c 2c'
loop_
_atom_site_label
_atom_site_fract_x
_atom_site_fract_y
_atom_site_fract_z
Ba1 0.0000 0.0000 0.2500
Ba2 0.3333 0.6667 0.1011
Cr1 0.3333 0.6667 0.6580
W1 0.0000 0.0000 0.0000
O1 0.0356 0.5178 0.7500
O2 0.1621 0.3243 0.5789
```

Summary:
As for the energy relative to the elements, uncorrected: -2.851 eV/atom.

***

First-principles (meta-GGA SCAN) data for a crystal of BaCrOs2 relaxed with PBEsol, as listed in the Alexandria database.

The structure in CIF format:
```
data_BaCrOs2
_chemical_formula_sum 'Ba1 Cr1 Os2'
_cell_length_a 3.994
_cell_length_b 3.994
_cell_length_c 4.689
_cell_angle_alpha 90.00
_cell_angle_beta 90.00
_cell_angle_gamma 90.00
_space_group_name_H-M_alt 'P 4/m m m'
_space_group_IT_number 123
_space_group_name_Hall '-P 4 2'
loop_
_atom_site_label
_atom_site_fract_x
_atom_site_fract_y
_atom_site_fract_z
Ba1 0.000 0.000 0.000
Cr1 0.500 0.500 0.000
Os1 0.000 0.500 0.500
```

Summary:
The value obtained for the offset from the most stable computed form is 16 meV/atom. The calculation puts the formation energy at 1493 meV/atom.

***

First-principles (meta-GGA SCAN) data for a crystal of BaCrOs2 relaxed with PBEsol, as listed in the Alexandria database.

The structure in CIF format:
```
data_BaCrOs2
_chemical_formula_sum 'Ba4 Cr4 Os8'
_cell_length_a 6.588
_cell_length_b 6.588
_cell_length_c 6.588
_cell_angle_alpha 90.00
_cell_angle_beta 90.00
_cell_angle_gamma 90.00
_space_group_name_H-M_alt 'F m -3 m'
_space_group_IT_number 225
_space_group_name_Hall '-F 4 2 3'
loop_
_atom_site_label
_atom_site_fract_x
_atom_site_fract_y
_atom_site_fract_z
Ba1 0.000 0.000 0.000
Cr1 0.000 0.000 0.500
Os1 0.250 0.250 0.250
```

Summary:
The value obtained for the offset from the most stable computed form is 0 meV/atom. The calculation puts the formation energy at 1477 meV/atom.

***

First-principles (meta-GGA SCAN) data for a crystal of Ba2CrP relaxed with PBEsol, as listed in the Alexandria database.

The structure in CIF format:
```
data_Ba2CrP
_chemical_formula_sum 'Ba4 Cr2 P2'
_cell_length_a 3.986
_cell_length_b 4.915
_cell_length_c 12.120
_cell_angle_alpha 90.00
_cell_angle_beta 90.00
_cell_angle_gamma 90.00
_space_group_name_H-M_alt 'I m m 2'
_space_group_IT_number 44
_space_group_name_Hall 'I 2 -2'
loop_
_atom_site_label
_atom_site_fract_x
_atom_site_fract_y
_atom_site_fract_z
Ba1 0.000 0.000 0.000
Ba2 0.000 0.500 0.215
Cr1 0.000 0.500 0.803
P1 0.000 0.000 0.412
```

Summary:
The calculation puts the formation energy at -367 meV/atom.

***

First-principles (meta-GGA SCAN) data for a crystal of BaCrP2 relaxed with PBEsol, as listed in the Alexandria database.

The structure in CIF format:
```
data_BaCrP2
_chemical_formula_sum 'Ba4 Cr4 P8'
_cell_length_a 6.923
_cell_length_b 6.923
_cell_length_c 6.923
_cell_angle_alpha 90.00
_cell_angle_beta 90.00
_cell_angle_gamma 90.00
_space_group_name_H-M_alt 'F -4 3 m'
_space_group_IT_number 216
_space_group_name_Hall 'F -4 2 3'
loop_
_atom_site_label
_atom_site_fract_x
_atom_site_fract_y
_atom_site_fract_z
Ba1 0.000 0.000 0.000
Cr1 0.250 0.250 0.250
P1 0.000 0.000 0.500
P2 0.250 0.250 0.750
```

Summary:
The value obtained for the offset from the most stable computed form is 966 meV/atom. The calculation puts the formation energy at 377 meV/atom.

***

First-principles (meta-GGA SCAN) data for a crystal of Ba2CrP relaxed with PBEsol, as listed in the Alexandria database.

The structure in CIF format:
```
data_Ba2CrP
_chemical_formula_sum 'Ba4 Cr2 P2'
_cell_length_a 7.505
_cell_length_b 7.526
_cell_length_c 4.268
_cell_angle_alpha 90.00
_cell_angle_beta 90.00
_cell_angle_gamma 90.00
_space_group_name_H-M_alt 'C m m m'
_space_group_IT_number 65
_space_group_name_Hall '-C 2 2'
loop_
_atom_site_label
_atom_site_fract_x
_atom_site_fract_y
_atom_site_fract_z
Ba1 0.250 0.250 0.000
Cr1 0.000 0.000 0.500
P1 0.000 0.500 0.500
```

Summary:
The calculation puts the formation energy at -234 meV/atom.

***

First-principles (meta-GGA SCAN) data for a crystal of BaCrP2 relaxed with PBEsol, as listed in the Alexandria database.

The structure in CIF format:
```
data_BaCrP2
_chemical_formula_sum 'Ba2 Cr2 P4'
_cell_length_a 4.205
_cell_length_b 6.327
_cell_length_c 7.127
_cell_angle_alpha 90.00
_cell_angle_beta 90.00
_cell_angle_gamma 90.00
_space_group_name_H-M_alt 'I m m m'
_space_group_IT_number 71
_space_group_name_Hall '-I 2 2'
loop_
_atom_site_label
_atom_site_fract_x
_atom_site_fract_y
_atom_site_fract_z
Ba1 0.000 0.000 0.000
Cr1 0.000 0.000 0.500
P1 0.000 0.500 0.159
```

Summary:
The value obtained for the offset from the most stable computed form is 0 meV/atom. The calculation puts the formation energy at -589 meV/atom.

***

Calculated total energy readings, ordered: -1.20662 -1.49150 -0.95669 -1.71011 -1.14831 -1.58732 -3.59634 -3.59750 -2.00932 -1.41898 -1.99954 -1.48997 Ry per atom